1.
Sm6Mg5Pb after structural relaxation, computed with GGA-PBE. Values from VASP.

The structure in Quantum ESPRESSO input format:
```
&SYSTEM
  ibrav = 0, nat = 12, ntyp = 3
/
ATOMIC_SPECIES
Mg 24.30 Mg.upf
Sm 150.36 Sm.upf
Pb 207.20 Pb.upf
CELL_PARAMETERS angstrom
5.173 -0.031 1.725
0.041 7.662 0.014
-0.011 -0.015 8.661
ATOMIC_POSITIONS crystal
Mg 0.673 0.000 0.656
Mg 0.327 0.000 0.344
Mg 0.666 0.500 0.669
Mg 0.334 0.500 0.331
Mg 0.000 0.500 0.000
Sm 0.500 0.251 0.000
Sm 0.168 0.745 0.665
Sm 0.168 0.255 0.665
Sm 0.832 0.745 0.335
Sm 0.832 0.255 0.335
Sm 0.500 0.749 0.000
Pb 0.000 0.000 0.000
```

The formation energy comes out at -0.18 eV/atom. The final energy comes out at -3.517 eV/atom. For the density of states at the Fermi level, the calculation gives 13.09 states/eV/cell.

2.
ThGa2Ru2Pt after structural relaxation, computed with GGA-PBE. Values from VASP.

The structure in Quantum ESPRESSO input format:
```
&SYSTEM
  ibrav = 0, nat = 6, ntyp = 4
/
ATOMIC_SPECIES
Ru 101.07 Ru.upf
Th 232.04 Th.upf
Ga 69.72 Ga.upf
Pt 195.08 Pt.upf
CELL_PARAMETERS angstrom
4.718 0.000 0.000
0.000 4.718 0.000
0.000 0.000 5.429
ATOMIC_POSITIONS crystal
Ru 0.500 0.500 0.727
Ru 0.500 0.500 0.273
Th 0.000 0.000 0.500
Ga 0.000 0.500 0.000
Ga 0.500 0.000 0.000
Pt 0.000 0.000 0.000
```

The formation energy comes out at -0.02 eV/atom. The final energy comes out at -6.367 eV/atom. For the density of states at the Fermi level, the calculation gives 5.55 states/eV/cell.

3.
MgTl2Os after structural relaxation, computed with GGA-PBE. Values from VASP.

The structure in Quantum ESPRESSO input format:
```
&SYSTEM
  ibrav = 0, nat = 4, ntyp = 3
/
ATOMIC_SPECIES
Tl 204.38 Tl.upf
Mg 24.30 Mg.upf
Os 190.23 Os.upf
CELL_PARAMETERS angstrom
3.319 0.000 0.000
0.000 3.319 0.000
0.000 0.000 8.015
ATOMIC_POSITIONS crystal
Tl 0.500 0.500 0.274
Tl 0.000 0.000 0.939
Mg 0.000 0.000 0.558
Os 0.500 0.500 0.730
```

The formation energy comes out at 0.48 eV/atom. The final energy comes out at -3.905 eV/atom. The calculation puts the relative energy among the computed polymorphs at 16 meV per atom. For the density of states at the Fermi level, the calculation gives 3.27 states/eV/cell.

4.
Y2ZrW after structural relaxation, computed with GGA-PBE. Values from VASP.

The structure in Quantum ESPRESSO input format:
```
&SYSTEM
  ibrav = 0, nat = 4, ntyp = 3
/
ATOMIC_SPECIES
Y 88.91 Y.upf
W 183.84 W.upf
Zr 91.22 Zr.upf
CELL_PARAMETERS angstrom
6.216 0.015 0.029
5.135 3.502 0.029
1.877 0.582 4.450
ATOMIC_POSITIONS crystal
Y 0.536 0.536 0.464
Y 0.964 0.964 0.036
W 0.250 0.250 0.250
Zr 0.750 0.750 0.750
```

The formation energy comes out at 0.43 eV/atom. The final energy comes out at -8.180 eV/atom. The calculation puts the relative energy among the computed polymorphs at 198 meV per atom. For the density of states at the Fermi level, the calculation gives 6.43 states/eV/cell.

5.
Th2BeZnIr2 after structural relaxation, computed with GGA-PBE. Values from VASP.

The structure in Quantum ESPRESSO input format:
```
&SYSTEM
  ibrav = 0, nat = 12, ntyp = 4
/
ATOMIC_SPECIES
Ir 192.22 Ir.upf
Th 232.04 Th.upf
Be 9.01 Be.upf
Zn 65.41 Zn.upf
CELL_PARAMETERS angstrom
5.892 0.000 0.000
0.000 5.625 0.000
-2.946 -2.812 7.220
ATOMIC_POSITIONS crystal
Ir 0.388 0.619 0.238
Ir 0.150 0.881 0.762
Ir 0.850 0.119 0.238
Ir 0.612 0.381 0.762
Th 0.914 0.661 0.322
Th 0.592 0.839 0.678
Th 0.086 0.339 0.678
Th 0.408 0.161 0.322
Be 0.500 0.750 0.000
Be 0.500 0.250 0.000
Zn 0.000 0.250 0.000
Zn 0.000 0.750 0.000
```

The formation energy comes out at -0.65 eV/atom. The final energy comes out at -6.906 eV/atom. For the density of states at the Fermi level, the calculation gives 5.49 states/eV/cell.

6.
Dy6ErTm after structural relaxation, computed with GGA-PBE. Values from VASP.

The structure in Quantum ESPRESSO input format:
```
&SYSTEM
  ibrav = 0, nat = 8, ntyp = 3
/
ATOMIC_SPECIES
Dy 162.50 Dy.upf
Tm 168.93 Tm.upf
Er 167.26 Er.upf
CELL_PARAMETERS angstrom
-2.665 -2.629 3.289
3.741 -3.266 0.419
3.870 5.387 7.441
ATOMIC_POSITIONS crystal
Dy 0.500 0.000 0.250
Dy 0.500 0.000 0.750
Dy 0.500 0.500 0.500
Dy 0.500 0.500 0.000
Dy 0.000 0.500 0.250
Dy 0.000 0.500 0.750
Tm 0.000 0.000 0.500
Er 0.000 0.000 0.000
```

The formation energy comes out at 0.02 eV/atom. The final energy comes out at -4.559 eV/atom. The calculation puts the relative energy among the computed polymorphs at 0 meV per atom. For the density of states at the Fermi level, the calculation gives 11.76 states/eV/cell.

7.
AgP2Ir after structural relaxation, computed with GGA-PBE. Values from VASP.

The structure in Quantum ESPRESSO input format:
```
&SYSTEM
  ibrav = 0, nat = 4, ntyp = 3
/
ATOMIC_SPECIES
Ag 107.87 Ag.upf
Ir 192.22 Ir.upf
P 30.97 P.upf
CELL_PARAMETERS angstrom
3.586 0.000 0.000
0.000 5.311 -0.319
0.000 1.096 3.992
ATOMIC_POSITIONS crystal
Ag 0.000 0.478 0.486
Ir 0.500 0.039 0.830
P 0.000 0.769 0.899
P 0.500 0.213 0.284
```

The formation energy comes out at 0.02 eV/atom. The final energy comes out at -5.608 eV/atom. The calculation puts the relative energy among the computed polymorphs at 73 meV per atom. For the density of states at the Fermi level, the calculation gives 2.02 states/eV/cell.

8.
RbMg14Zr after structural relaxation, computed with GGA-PBE. Values from VASP.

The structure in Quantum ESPRESSO input format:
```
&SYSTEM
  ibrav = 0, nat = 16, ntyp = 3
/
ATOMIC_SPECIES
Mg 24.30 Mg.upf
Rb 85.47 Rb.upf
Zr 91.22 Zr.upf
CELL_PARAMETERS angstrom
4.850 -4.852 0.000
4.850 4.852 0.000
0.000 0.000 8.371
ATOMIC_POSITIONS crystal
Mg 0.375 0.125 0.500
Mg 0.642 0.892 0.238
Mg 0.875 0.625 0.000
Mg 0.642 0.358 0.238
Mg 0.108 0.892 0.762
Mg 0.642 0.358 0.762
Mg 0.642 0.892 0.762
Mg 0.875 0.125 0.000
Mg 0.375 0.125 0.000
Mg 0.875 0.625 0.500
Mg 0.108 0.358 0.762
Mg 0.108 0.892 0.238
Mg 0.375 0.625 0.000
Mg 0.108 0.358 0.238
Rb 0.375 0.625 0.500
Zr 0.875 0.125 0.500
```

The formation energy comes out at 0.11 eV/atom. The final energy comes out at -1.876 eV/atom. The calculation puts the relative energy among the computed polymorphs at 0 meV per atom. For the density of states at the Fermi level, the calculation gives 8.73 states/eV/cell.

9.
Ac2UZnSe6 after structural relaxation, computed with GGA-PBE. Values from VASP.

The structure in Quantum ESPRESSO input format:
```
&SYSTEM
  ibrav = 0, nat = 10, ntyp = 4
/
ATOMIC_SPECIES
Se 78.96 Se.upf
Ac 227.00 Ac.upf
Zn 65.41 Zn.upf
U 238.03 U.upf
CELL_PARAMETERS angstrom
7.477 0.000 0.000
3.739 6.475 0.000
3.738 2.159 6.149
ATOMIC_POSITIONS crystal
Se 0.470 0.661 0.780
Se 0.584 0.175 0.265
Se 0.088 0.470 0.780
Se 0.977 0.584 0.265
Se 0.661 0.088 0.780
Se 0.175 0.977 0.265
Ac 0.532 0.532 0.405
Ac 0.040 0.040 0.881
Zn 0.315 0.315 0.056
U 0.820 0.820 0.539
```

The calculation puts the formation energy without anion corrections at -1.375 eV/atom. The final energy comes out at -5.544 eV/atom. For the density of states at the Fermi level, the calculation gives 4.73 states/eV/cell.

10.
La2H4Pd after structural relaxation, computed with GGA-PBE. Values from VASP.

The structure in Quantum ESPRESSO input format:
```
&SYSTEM
  ibrav = 0, nat = 7, ntyp = 3
/
ATOMIC_SPECIES
H 1.01 H.upf
Pd 106.42 Pd.upf
La 138.91 La.upf
CELL_PARAMETERS angstrom
3.629 0.000 0.000
0.000 3.629 0.000
1.814 1.814 7.171
ATOMIC_POSITIONS crystal
H 0.181 0.181 0.637
H 0.819 0.819 0.363
H 0.000 0.500 0.000
H 0.500 0.000 0.000
Pd 0.000 0.000 0.000
La 0.351 0.351 0.297
La 0.649 0.649 0.703
```

The final energy comes out at -4.550 eV/atom. For the density of states at the Fermi level, the calculation gives 2.34 states/eV/cell.

11.
KLiSc3 after structural relaxation, computed with GGA-PBE. Values from VASP.

The structure in Quantum ESPRESSO input format:
```
&SYSTEM
  ibrav = 0, nat = 5, ntyp = 3
/
ATOMIC_SPECIES
K 39.10 K.upf
Sc 44.96 Sc.upf
Li 6.94 Li.upf
CELL_PARAMETERS angstrom
-1.339 0.228 -5.139
5.126 -0.388 -1.353
-0.433 -5.297 -0.123
ATOMIC_POSITIONS crystal
K 0.500 0.500 0.500
Sc 0.000 0.000 0.500
Sc 0.000 0.500 0.000
Sc 0.500 0.000 0.000
Li 0.000 0.000 0.000
```

The formation energy comes out at 0.75 eV/atom. The final energy comes out at -3.655 eV/atom. The calculation puts the relative energy among the computed polymorphs at 0 meV per atom. For the density of states at the Fermi level, the calculation gives 8.13 states/eV/cell.

12.
Ca2TaSe after structural relaxation, computed with GGA-PBE. Values from VASP.

The structure in Quantum ESPRESSO input format:
```
&SYSTEM
  ibrav = 0, nat = 4, ntyp = 3
/
ATOMIC_SPECIES
Ca 40.08 Ca.upf
Ta 180.95 Ta.upf
Se 78.96 Se.upf
CELL_PARAMETERS angstrom
-5.059 7.653 -2.670
-6.942 5.043 -4.204
-7.499 5.869 -0.781
ATOMIC_POSITIONS crystal
Ca 0.514 0.514 0.514
Ca 0.986 0.986 0.986
Ta 0.750 0.750 0.750
Se 0.250 0.250 0.250
```

The calculation puts the formation energy without anion corrections at -0.132 eV/atom. The final energy comes out at -4.967 eV/atom. For the density of states at the Fermi level, the calculation gives 4.07 states/eV/cell.

13.
Co2ReRh after structural relaxation, computed with GGA-PBE. Values from VASP.

The structure in Quantum ESPRESSO input format:
```
&SYSTEM
  ibrav = 0, nat = 4, ntyp = 3
/
ATOMIC_SPECIES
Co 58.93 Co.upf
Rh 102.91 Rh.upf
Re 186.21 Re.upf
CELL_PARAMETERS angstrom
-3.910 2.003 -0.888
-4.047 -0.464 -1.869
-2.421 -1.332 3.687
ATOMIC_POSITIONS crystal
Co 0.001 0.001 0.985
Co 0.499 0.499 0.515
Rh 0.250 0.250 0.250
Re 0.750 0.750 0.750
```

The formation energy comes out at 0.09 eV/atom. The final energy comes out at -8.410 eV/atom. The calculation puts the relative energy among the computed polymorphs at 68 meV per atom. For the density of states at the Fermi level, the calculation gives 4.75 states/eV/cell.